[1]
KHfGa2Tc | PBE | relaxed

Geometry as CIF:
```
data_KHfGa2Tc
_symmetry_space_group_name_H-M 'P 1'
_symmetry_Int_Tables_number 1
_cell_length_a 5.055
_cell_length_b 4.917
_cell_length_c 5.055
_cell_angle_alpha 90.00
_cell_angle_beta 90.00
_cell_angle_gamma 90.00
loop_
_symmetry_equiv_pos_as_xyz
'x,y,z'
loop_
_atom_site_label
_atom_site_type_symbol
_atom_site_fract_x
_atom_site_fract_y
_atom_site_fract_z
Hf1 Hf 0.000 0.500 0.000
Tc1 Tc 0.000 0.000 0.000
Ga1 Ga 0.500 0.000 0.000
Ga2 Ga 0.000 0.000 0.500
K1 K 0.500 0.500 0.500
```

## Properties
- Fermi-level density of states: 0.36 states/eV/atom
- Energy of formation: 0.14 eV per atom
- Total magnetization: 0.0 μB/cell
- Calculated volume: 25.1 Å³ per atom
- Density: 6.014 Mg/m³


[2]
K2HfGaTe4 | PBE | relaxed

Geometry as CIF:
```
data_K2HfGaTe4
_symmetry_space_group_name_H-M 'P 1'
_symmetry_Int_Tables_number 1
_cell_length_a 7.133
_cell_length_b 8.195
_cell_length_c 13.183
_cell_angle_alpha 83.24
_cell_angle_beta 74.30
_cell_angle_gamma 64.20
loop_
_symmetry_equiv_pos_as_xyz
'x,y,z'
loop_
_atom_site_label
_atom_site_type_symbol
_atom_site_fract_x
_atom_site_fract_y
_atom_site_fract_z
Te1 Te 0.461 0.710 0.385
Te2 Te 0.153 0.290 0.385
Te3 Te 0.556 0.290 0.615
Te4 Te 0.829 0.710 0.615
Te5 Te 0.921 0.790 0.885
Te6 Te 0.597 0.210 0.115
Te7 Te 0.194 0.210 0.885
Te8 Te 0.289 0.790 0.115
K1 K 0.183 0.000 0.635
K2 K 0.817 0.000 0.365
K3 K 0.567 0.500 0.865
K4 K 0.933 0.500 0.135
Ga1 Ga 0.250 0.500 0.500
Ga2 Ga 0.500 0.000 0.000
Hf1 Hf 0.750 0.500 0.500
Hf2 Hf 0.000 0.000 0.000
```

## Properties
- Uncorrected formation energy: -0.703 eV per atom
- Fermi-level density of states: 0.60 states/eV/atom
- Total magnetization: 0.0 μB/cell
- Calculated volume: 41.7 Å³ per atom
- Density: 4.161 Mg/m³


[3]
La3HfGa | PBE | relaxed

Geometry as CIF:
```
data_La3HfGa
_symmetry_space_group_name_H-M 'P 1'
_symmetry_Int_Tables_number 1
_cell_length_a 5.838
_cell_length_b 5.838
_cell_length_c 5.838
_cell_angle_alpha 90.00
_cell_angle_beta 90.00
_cell_angle_gamma 90.00
loop_
_symmetry_equiv_pos_as_xyz
'x,y,z'
loop_
_atom_site_label
_atom_site_type_symbol
_atom_site_fract_x
_atom_site_fract_y
_atom_site_fract_z
Ga1 Ga 0.500 0.500 0.500
La1 La 0.000 0.000 0.500
La2 La 0.500 0.000 0.000
La3 La 0.000 0.500 0.000
Hf1 Hf 0.000 0.000 0.000
```

## Properties
- Fermi-level density of states: 1.63 states/eV/atom
- Offset from the most stable computed form: 36 meV per atom
- Energy of formation: 0.56 eV per atom
- Total magnetization: 0.0 μB/cell
- Calculated volume: 39.8 Å³ per atom
- Density: 5.548 Mg/m³


[4]
La3HfGa | PBE | relaxed

Geometry as CIF:
```
data_La3HfGa
_symmetry_space_group_name_H-M 'P 1'
_symmetry_Int_Tables_number 1
_cell_length_a 5.680
_cell_length_b 5.680
_cell_length_c 5.680
_cell_angle_alpha 90.00
_cell_angle_beta 90.00
_cell_angle_gamma 90.00
loop_
_symmetry_equiv_pos_as_xyz
'x,y,z'
loop_
_atom_site_label
_atom_site_type_symbol
_atom_site_fract_x
_atom_site_fract_y
_atom_site_fract_z
La1 La 0.000 0.500 0.000
La2 La 0.500 0.000 0.000
La3 La 0.000 0.000 0.500
Ga1 Ga 0.000 0.000 0.000
Hf1 Hf 0.500 0.500 0.500
```

## Properties
- Fermi-level density of states: 2.47 states/eV/atom
- Offset from the most stable computed form: 0 meV per atom
- Energy of formation: 0.53 eV per atom
- Total magnetization: 0.0 μB/cell
- Calculated volume: 36.7 Å³ per atom
- Density: 6.025 Mg/m³